Entry 1:
NaP2ICl: optimized geometry, PBEsol. Values from VASP.

```
&SYSTEM
  ibrav = 0, nat = 5, ntyp = 4
/
ATOMIC_SPECIES
Na 22.99 Na.upf
P 30.97 P.upf
I 126.90 I.upf
Cl 35.45 Cl.upf
ATOMIC_POSITIONS crystal
Na 0.000 0.000 0.000
P 0.000 0.500 0.000
P 0.500 0.000 0.000
I 0.500 0.500 0.500
Cl 0.000 0.000 0.500
CELL_PARAMETERS angstrom
5.083 0.000 0.000
0.000 5.083 0.000
0.000 0.000 4.688
```

Calculated values
The uncorrected formation energy is 0.8750 eV/atom. As for the space group: P4/mmm, No. 123. Its crystal system is tetragonal. For the density of states at the Fermi level, the calculation gives 4.45 states/eV/f.u. The total magnetization comes out at 0.01 μB/f.u.



Entry 2:
NaSb2ICl: optimized geometry, PBEsol. Values from VASP.

```
&SYSTEM
  ibrav = 0, nat = 5, ntyp = 4
/
ATOMIC_SPECIES
Na 22.99 Na.upf
Sb 121.76 Sb.upf
I 126.90 I.upf
Cl 35.45 Cl.upf
ATOMIC_POSITIONS crystal
Na 0.000 0.000 0.000
Sb 0.000 0.500 0.000
Sb 0.500 0.000 0.000
I 0.000 0.000 0.500
Cl 0.500 0.500 0.500
CELL_PARAMETERS angstrom
5.414 0.000 0.000
0.000 5.414 0.000
0.000 0.000 5.412
```

Calculated values
The uncorrected formation energy is 0.5337 eV/atom. As for the space group: P4/mmm, No. 123. Its crystal system is tetragonal. For the density of states at the Fermi level, the calculation gives 3.95 states/eV/f.u. The total magnetization comes out at 0.00 μB/f.u.



- Which of these has the highest uncorrected formation energy?
  NaP2ICl



- What is the formula in the first record?
  NaP2ICl